Here is MgPt2Pb after structural relaxation from the Alexandria database. Energies are from PBE.

Unit cell a=5.9597 b=6.9597 c=3.5677 alpha=90.00 beta=90.00 gamma=90.00
Closest atoms and distances in Å follow each position.
Space group Cmmm (No. 65)
Unique sites:
Mg 0.0000 0.0000 0.0000  8 Pt 2.90, 2 Pb 2.98
Pt 0.2500 0.2500 0.5000  4 Pb 2.90, 4 Mg 2.90, 2 Pt 2.98
Pb 0.0000 0.5000 0.0000  8 Pt 2.90, 2 Mg 2.98

ρ, Mg/m³: 13.95
Formation energy, kJ per mole of atoms: -37
Final energy, eV per atom: -4.726

***

Here is RbNaTiSe3 after structural relaxation from the Alexandria database. Energies are from PBE.

Unit cell a=7.5488 b=14.0084 c=7.0386 alpha=90.00 beta=90.00 gamma=90.00
Closest atoms and distances in Å follow each position.
Space group Cmcm (No. 63)
Unique sites:
Rb 0.0000 0.2346 0.2500  4 Se 3.52-3.82
Na 0.0000 0.4259 0.7500  5 Se 2.86-2.92
Ti 0.0000 0.0546 0.7500  5 Se 2.35-2.55
Se 0.0000 0.2221 0.7500  1 Ti 2.35
Se 0.2230 0.0000 0.0000  2 Ti 2.55

ρ, Mg/m³: 3.51
Energy relative to the elements, uncorrected, eV/atom: -1.18
Final energy, eV per atom: -4.624

***

Here is Cd2Ni2Ir after structural relaxation from the Alexandria database. Energies are from PBE.

Unit cell a=6.2681 b=6.2681 c=4.0554 alpha=90.00 beta=90.00 gamma=90.00
Closest atoms and distances in Å follow each position.
Space group P4/mbm (No. 127)
Unique sites:
Cd 0.1778 0.3222 0.0000  6 Ni 2.66-2.81
Ni 0.1280 0.6280 0.5000  1 Ni 2.27, 2 Ir 2.47
Ir 0.0000 0.0000 0.5000  4 Ni 2.47

ρ, Mg/m³: 11.14
Formation energy, kJ per mole of atoms: 19
E above lowest polymorph, meV per atom: 0.0
Final energy, eV per atom: -4.256

***

Here is Ba5Sr5Ca after structural relaxation from the Alexandria database. Energies are from PBE.

Unit cell a=7.3406 b=7.3406 c=14.1345 alpha=90.00 beta=90.00 gamma=120.00
Closest atoms and distances in Å follow each position.
Space group P-6m2 (No. 187)
Unique sites:
Ba 0.0000 0.0000 0.2427  1 Sr 3.64, 3 Ba 4.06
Ba 0.3419 0.1709 0.0000  4 Ba 3.58-3.76
Sr 0.0000 0.0000 0.5000  2 Ba 3.64
Sr 0.3333 0.6667 0.1899  9 Ba 4.30-4.55, 1 Ca 4.38, 3 Sr 4.71
Sr 0.6667 0.3333 0.3352  3 Ba 4.44, 7 Sr 4.66-4.84, 3 Ca 4.84
Ca 0.3333 0.6667 0.5000  5 Sr 4.24-4.38

ρ, Mg/m³: 2.93
Formation energy, kJ per mole of atoms: 23
Final energy, eV per atom: -1.577

***

Here is YSc2Al9 after structural relaxation from the Alexandria database. Energies are from PBE.

Unit cell a=4.1593 b=4.1593 c=12.4529 alpha=90.00 beta=90.00 gamma=90.00
Closest atoms and distances in Å follow each position.
Space group P4/mmm (No. 123)
Unique sites:
Y 0.0000 0.0000 0.0000  12 Al 2.94-3.01
Sc 0.0000 0.0000 0.3370  12 Al 2.90-2.94
Al 0.0000 0.5000 0.1744  8 Al 2.89-3.01, 2 Sc 2.90, 2 Y 3.01
Al 0.0000 0.5000 0.5000  4 Sc 2.91, 8 Al 2.92-2.94
Al 0.5000 0.5000 0.0000  4 Y 2.94, 8 Al 3.01
Al 0.5000 0.5000 0.3359  8 Al 2.89-2.92, 4 Sc 2.94

ρ, Mg/m³: 3.25
Formation energy, kJ per mole of atoms: -42
E above lowest polymorph, meV per atom: 0.0
Final energy, eV per atom: -4.839